[1]
The following is a DFT calculation (meta-GGA SCAN) of a crystal of BeHgSeBr2 relaxed with PBEsol.

Unit cell a=4.474 b=4.474 c=5.514 alpha=90.00 beta=90.00 gamma=90.00
Fractional coordinates of all 5 atoms:
Be (0.000, 0.000, 0.000)
Hg (0.500, 0.500, 0.500)
Se (0.000, 0.000, 0.500)
Br (0.000, 0.500, 0.000)
Br (0.500, 0.000, 0.000)

Output
Raw formation energy: -0.3 eV per formula unit
Crystal system: tetragonal


[2]
The following is a DFT calculation (meta-GGA SCAN) of a crystal of FePbBr2 relaxed with PBEsol.

Unit cell a=6.238 b=6.238 c=5.248 alpha=110.50 beta=110.50 gamma=32.05
Fractional coordinates of all 4 atoms:
Fe (0.000, 0.000, 0.000)
Pb (0.500, 0.500, 0.500)
Br (0.336, 0.336, 0.824)
Br (0.664, 0.664, 0.176)

Output
Raw formation energy: -0.9 eV per formula unit
Relative energy among the computed polymorphs: 0 meV per atom
Crystal system: monoclinic


[3]
The following is a DFT calculation (meta-GGA SCAN) of a crystal of YMnSi2 relaxed with PBEsol.

Unit cell a=4.062 b=4.062 c=3.997 alpha=90.00 beta=90.00 gamma=90.00
Fractional coordinates of all 4 atoms:
Y (0.000, 0.000, 0.000)
Mn (0.500, 0.500, 0.000)
Si (0.000, 0.500, 0.500)
Si (0.500, 0.000, 0.500)

Output
Raw formation energy: -1.0 eV per formula unit
Crystal system: tetragonal


[4]
The following is a DFT calculation (meta-GGA SCAN) of a crystal of NiHgP2 relaxed with PBEsol.

Unit cell a=5.257 b=5.257 c=5.257 alpha=139.32 beta=139.32 gamma=58.89
Fractional coordinates of all 4 atoms:
Ni (0.000, 0.000, 0.000)
Hg (0.500, 0.500, 0.000)
P (0.250, 0.750, 0.500)
P (0.750, 0.250, 0.500)

Output
Energy relative to the elements: 688 meV/atom
Crystal system: tetragonal


[5]
The following is a DFT calculation (meta-GGA SCAN) of a crystal of Sr2Br relaxed with PBEsol.

Unit cell a=8.410 b=8.410 c=8.410 alpha=152.41 beta=151.14 gamma=40.35
Fractional coordinates of all 3 atoms:
Sr (0.154, 0.154, 0.000)
Sr (0.846, 0.846, 0.000)
Br (0.000, 0.500, 0.500)

Output
Raw formation energy: -3.0 eV per formula unit
Crystal system: orthorhombic


[6]
The following is a DFT calculation (meta-GGA SCAN) of a crystal of CuPbBr2 relaxed with PBEsol.

Unit cell a=6.033 b=6.033 c=6.033 alpha=144.98 beta=128.43 gamma=63.86
Fractional coordinates of all 4 atoms:
Cu (0.000, 0.000, 0.000)
Pb (0.500, 0.500, 0.000)
Br (0.170, 0.670, 0.500)
Br (0.830, 0.330, 0.500)

Output
Raw formation energy: -1.2 eV per formula unit
Relative energy among the computed polymorphs: 0 meV per atom
Crystal system: orthorhombic


[7]
The following is a DFT calculation (meta-GGA SCAN) of a crystal of ZrTc2Ir relaxed with PBEsol.

Unit cell a=2.803 b=4.416 c=5.092 alpha=90.00 beta=98.72 gamma=90.00
Fractional coordinates of all 4 atoms:
Zr (0.000, 0.000, 0.000)
Tc (0.233, 0.500, 0.664)
Tc (0.590, 0.000, 0.507)
Ir (0.577, 0.500, 0.205)

Output
Relative energy among the computed polymorphs: 0 meV per atom
Energy relative to the elements: -269 meV/atom
Crystal system: monoclinic


[8]
The following is a DFT calculation (meta-GGA SCAN) of a crystal of Al2CrHg relaxed with PBEsol.

Unit cell a=5.836 b=5.836 c=5.836 alpha=102.74 beta=102.74 gamma=123.99
Fractional coordinates of all 8 atoms:
Al (0.120, 0.625, 0.995)
Al (0.375, 0.370, 0.495)
Al (0.630, 0.125, 0.005)
Al (0.875, 0.880, 0.505)
Cr (0.000, 0.000, 0.000)
Cr (0.750, 0.250, 0.500)
Hg (0.250, 0.750, 0.500)
Hg (0.500, 0.500, 0.000)

Output
Energy relative to the elements: 295 meV/atom
Crystal system: tetragonal


[9]
The following is a DFT calculation (meta-GGA SCAN) of a crystal of In2NiAu relaxed with PBEsol.

Unit cell a=6.372 b=6.372 c=6.372 alpha=153.42 beta=140.82 gamma=47.98
Fractional coordinates of all 4 atoms:
In (0.000, 0.000, 0.000)
In (0.712, 0.212, 0.500)
Ni (0.190, 0.690, 0.500)
Au (0.387, 0.387, 0.000)

Output
Relative energy among the computed polymorphs: 0 meV per atom
Energy relative to the elements: -145 meV/atom
Crystal system: orthorhombic


[10]
The following is a DFT calculation (meta-GGA SCAN) of a crystal of Tc2IrBr relaxed with PBEsol.

Unit cell a=4.541 b=4.541 c=2.853 alpha=90.00 beta=90.00 gamma=90.00
Fractional coordinates of all 4 atoms:
Tc (0.000, 0.500, 0.000)
Tc (0.500, 0.000, 0.000)
Ir (0.000, 0.000, 0.500)
Br (0.500, 0.500, 0.500)

Output
Raw formation energy: 3.3 eV per formula unit
Relative energy among the computed polymorphs: 156 meV per atom
Crystal system: tetragonal


[11]
The following is a DFT calculation (meta-GGA SCAN) of a crystal of SbBr2Cl relaxed with PBEsol.

Unit cell a=5.691 b=3.950 c=7.090 alpha=90.00 beta=112.99 gamma=90.00
Fractional coordinates of all 4 atoms:
Sb (0.000, 0.000, 0.000)
Br (0.152, 0.500, 0.304)
Br (0.442, 0.000, 0.983)
Cl (0.856, 0.500, 0.725)

Output
Raw formation energy: -2.6 eV per formula unit
Relative energy among the computed polymorphs: 0 meV per atom
Crystal system: monoclinic


[12]
The following is a DFT calculation (meta-GGA SCAN) of a crystal of ScTa2Co relaxed with PBEsol.

Unit cell a=5.296 b=5.296 c=5.296 alpha=146.34 beta=126.79 gamma=64.46
Fractional coordinates of all 4 atoms:
Sc (0.000, 0.000, 0.000)
Ta (0.280, 0.780, 0.500)
Ta (0.546, 0.546, 0.000)
Co (0.763, 0.263, 0.500)

Output
Relative energy among the computed polymorphs: 0 meV per atom
Energy relative to the elements: 98 meV/atom
Crystal system: orthorhombic


[13]
The following is a DFT calculation (meta-GGA SCAN) of a crystal of MnICl2 relaxed with PBEsol.

Unit cell a=6.575 b=6.575 c=6.575 alpha=101.08 beta=101.08 gamma=127.99
Fractional coordinates of all 8 atoms:
Mn (0.000, 0.000, 0.000)
Mn (0.750, 0.250, 0.500)
I (0.250, 0.750, 0.500)
I (0.500, 0.500, 0.000)
Cl (0.375, 0.240, 0.365)
Cl (0.760, 0.125, 0.135)
Cl (0.875, 0.010, 0.635)
Cl (0.990, 0.625, 0.865)

Output
Raw formation energy: -3.1 eV per formula unit
Crystal system: tetragonal


[14]
The following is a DFT calculation (meta-GGA SCAN) of a crystal of TlTePdI2 relaxed with PBEsol.

Unit cell a=5.482 b=5.482 c=5.234 alpha=90.00 beta=90.00 gamma=90.00
Fractional coordinates of all 5 atoms:
Tl (0.000, 0.000, 0.000)
Te (0.500, 0.500, 0.000)
Pd (0.500, 0.500, 0.500)
I (0.000, 0.500, 0.500)
I (0.500, 0.000, 0.500)

Output
Raw formation energy: -0.8 eV per formula unit
Crystal system: tetragonal


[15]
The following is a DFT calculation (meta-GGA SCAN) of a crystal of BaCd2W relaxed with PBEsol.

Unit cell a=11.115 b=11.115 c=11.115 alpha=15.81 beta=15.81 gamma=15.81
Fractional coordinates of all 4 atoms:
Ba (0.000, 0.000, 0.000)
Cd (0.238, 0.238, 0.238)
Cd (0.762, 0.762, 0.762)
W (0.500, 0.500, 0.500)

Output
Energy relative to the elements: 816 meV/atom
Crystal system: trigonal


[16]
The following is a DFT calculation (meta-GGA SCAN) of a crystal of YPbBr2 relaxed with PBEsol.

Unit cell a=10.493 b=10.493 c=10.493 alpha=19.72 beta=19.72 gamma=19.72
Fractional coordinates of all 4 atoms:
Y (0.000, 0.000, 0.000)
Pb (0.500, 0.500, 0.500)
Br (0.271, 0.271, 0.271)
Br (0.729, 0.729, 0.729)

Output
Raw formation energy: -4.5 eV per formula unit
Relative energy among the computed polymorphs: 40 meV per atom
Crystal system: trigonal


[17]
The following is a DFT calculation (meta-GGA SCAN) of a crystal of CsKHg2 relaxed with PBEsol.

Unit cell a=6.016 b=6.016 c=6.016 alpha=60.00 beta=60.00 gamma=60.00
Fractional coordinates of all 4 atoms:
Cs (0.000, 0.000, 0.000)
K (0.500, 0.500, 0.500)
Hg (0.250, 0.250, 0.250)
Hg (0.750, 0.750, 0.750)

Output
Energy relative to the elements: -247 meV/atom
Crystal system: cubic


[18]
The following is a DFT calculation (meta-GGA SCAN) of a crystal of Cr2NiRh relaxed with PBEsol.

Unit cell a=4.469 b=4.469 c=4.469 alpha=133.49 beta=133.49 gamma=67.88
Fractional coordinates of all 4 atoms:
Cr (0.250, 0.750, 0.500)
Cr (0.750, 0.250, 0.500)
Ni (0.000, 0.000, 0.000)
Rh (0.500, 0.500, 0.000)

Output
Energy relative to the elements: 7 meV/atom
Crystal system: tetragonal


[19]
The following is a DFT calculation (meta-GGA SCAN) of a crystal of KCa2As relaxed with PBEsol.

Unit cell a=4.305 b=4.305 c=10.872 alpha=101.09 beta=101.09 gamma=60.00
Fractional coordinates of all 4 atoms:
K (0.000, 0.000, 0.000)
Ca (0.212, 0.212, 0.639)
Ca (0.788, 0.788, 0.361)
As (0.500, 0.500, 0.500)

Output
Energy relative to the elements: -697 meV/atom
Crystal system: monoclinic


[20]
The following is a DFT calculation (meta-GGA SCAN) of a crystal of HPdBr2 relaxed with PBEsol.

Unit cell a=7.631 b=7.631 c=7.631 alpha=25.04 beta=25.04 gamma=25.04
Fractional coordinates of all 4 atoms:
H (0.000, 0.000, 0.000)
Pd (0.500, 0.500, 0.500)
Br (0.394, 0.394, 0.394)
Br (0.606, 0.606, 0.606)

Output
Relative energy among the computed polymorphs: 263 meV per atom
Crystal system: trigonal


[21]
The following is a DFT calculation (meta-GGA SCAN) of a crystal of KMgV3Cu4O13 relaxed with PBEsol.

Unit cell a=8.247 b=5.952 c=10.735 alpha=90.00 beta=98.48 gamma=90.00
Fractional coordinates of all 44 atoms:
K (0.016, 0.250, 0.398)
K (0.984, 0.750, 0.602)
Mg (0.306, 0.250, 0.645)
Mg (0.694, 0.750, 0.355)
V (0.033, 0.750, 0.211)
V (0.322, 0.750, 0.873)
V (0.367, 0.750, 0.503)
V (0.633, 0.250, 0.497)
V (0.678, 0.250, 0.127)
V (0.967, 0.250, 0.789)
Cu (0.100, 0.250, 0.103)
Cu (0.355, 0.250, 0.939)
Cu (0.395, 0.002, 0.231)
Cu (0.395, 0.498, 0.231)
Cu (0.605, 0.502, 0.769)
Cu (0.605, 0.998, 0.769)
Cu (0.645, 0.750, 0.061)
Cu (0.900, 0.750, 0.897)
O (0.066, 0.250, 0.665)
O (0.116, 0.250, 0.923)
O (0.120, 0.750, 0.871)
O (0.160, 0.515, 0.221)
O (0.160, 0.985, 0.221)
O (0.256, 0.520, 0.526)
O (0.256, 0.980, 0.526)
O (0.345, 0.250, 0.119)
O (0.375, 0.003, 0.798)
O (0.375, 0.497, 0.798)
O (0.410, 0.750, 0.028)
O (0.438, 0.750, 0.343)
O (0.467, 0.250, 0.388)
O (0.533, 0.750, 0.612)
O (0.562, 0.250, 0.657)
O (0.590, 0.250, 0.972)
O (0.625, 0.503, 0.202)
O (0.625, 0.997, 0.202)
O (0.655, 0.750, 0.881)
O (0.744, 0.020, 0.474)
O (0.744, 0.480, 0.474)
O (0.840, 0.015, 0.779)
O (0.840, 0.485, 0.779)
O (0.880, 0.250, 0.129)
O (0.884, 0.750, 0.077)
O (0.934, 0.750, 0.335)

Output
Raw formation energy: -43.5 eV per formula unit
Crystal system: monoclinic


[22]
The following is a DFT calculation (meta-GGA SCAN) of a crystal of KTe2Se relaxed with PBEsol.

Unit cell a=4.450 b=4.450 c=7.067 alpha=90.00 beta=90.00 gamma=90.00
Fractional coordinates of all 4 atoms:
K (0.000, 0.000, 0.000)
Te (0.000, 0.000, 0.494)
Te (0.500, 0.500, 0.435)
Se (0.500, 0.500, 0.082)

Output
Raw formation energy: -2.2 eV per formula unit
Crystal system: tetragonal


[23]
The following is a DFT calculation (meta-GGA SCAN) of a crystal of SrFeSi2 relaxed with PBEsol.

Unit cell a=4.118 b=4.118 c=4.269 alpha=90.00 beta=90.00 gamma=90.00
Fractional coordinates of all 4 atoms:
Sr (0.000, 0.000, 0.000)
Fe (0.500, 0.500, 0.000)
Si (0.000, 0.500, 0.500)
Si (0.500, 0.000, 0.500)

Output
Raw formation energy: 1.9 eV per formula unit
Crystal system: tetragonal


[24]
The following is a DFT calculation (meta-GGA SCAN) of a crystal of Mn2TcO4 relaxed with PBEsol.

Unit cell a=6.065 b=6.065 c=6.065 alpha=124.87 beta=118.54 gamma=87.16
Fractional coordinates of all 14 atoms:
Mn (0.000, 0.000, 0.000)
Mn (0.375, 0.625, 0.750)
Mn (0.500, 0.000, 0.500)
Mn (0.625, 0.375, 0.250)
Tc (0.000, 0.000, 0.500)
Tc (0.000, 0.500, 0.000)
O (0.231, 0.215, 0.484)
O (0.231, 0.746, 0.016)
O (0.240, 0.749, 0.491)
O (0.242, 0.251, 0.991)
O (0.758, 0.749, 0.009)
O (0.760, 0.251, 0.509)
O (0.769, 0.254, 0.984)
O (0.769, 0.785, 0.516)

Output
Raw formation energy: -12.9 eV per formula unit
Crystal system: orthorhombic


[25]
The following is a DFT calculation (meta-GGA SCAN) of a crystal of CuAs2BrO relaxed with PBEsol.

Unit cell a=4.598 b=4.598 c=4.765 alpha=90.00 beta=90.00 gamma=90.00
Fractional coordinates of all 5 atoms:
Cu (0.000, 0.000, 0.000)
As (0.000, 0.500, 0.000)
As (0.500, 0.000, 0.000)
Br (0.000, 0.000, 0.500)
O (0.500, 0.500, 0.500)

Output
Raw formation energy: 4.9 eV per formula unit
Relative energy among the computed polymorphs: 529 meV per atom
Crystal system: tetragonal


[26]
The following is a DFT calculation (meta-GGA SCAN) of a crystal of CsTc3Ge relaxed with PBEsol.

Unit cell a=4.741 b=4.741 c=4.741 alpha=90.00 beta=90.00 gamma=90.00
Fractional coordinates of all 5 atoms:
Cs (0.000, 0.000, 0.000)
Tc (0.000, 0.500, 0.500)
Tc (0.500, 0.000, 0.500)
Tc (0.500, 0.500, 0.000)
Ge (0.500, 0.500, 0.500)

Output
Energy relative to the elements: 1652 meV/atom
Crystal system: cubic


[27]
The following is a DFT calculation (meta-GGA SCAN) of a crystal of AlIn2Ag relaxed with PBEsol.

Unit cell a=3.097 b=4.151 c=6.296 alpha=90.00 beta=90.00 gamma=90.00
Fractional coordinates of all 4 atoms:
Al (0.000, 0.000, 0.000)
In (0.500, 0.500, 0.252)
In (0.500, 0.500, 0.748)
Ag (0.000, 0.000, 0.500)

Output
Energy relative to the elements: 119 meV/atom
Crystal system: orthorhombic